DFT (PBE) results for a relaxed structure of Ba2ReTc.

Computed properties:
* total magnetic moment: 7.64 Bohr magnetons per cell
* energy of formation: 1601 meV/atom
* DOS(E_F): 7.384 states/eV per cell

a b c (Å): 4.6634 4.6634 9.7889
angles (deg): 90.00 90.00 90.00
Space group I4/mmm (No. 139)
Inequivalent atoms, fractional coordinates:
1 Ba 0.0000 0.5000 0.2500 [4 per cell]
2 Re 0.0000 0.0000 0.0000 [2 per cell]
3 Tc 0.0000 0.0000 0.5000 [2 per cell]

DFT (PBE) results for a relaxed structure of SmTlPb.

Computed properties:
* total magnetic moment: 0.00 Bohr magnetons per cell
* energy of formation: -287 meV/atom
* DOS(E_F): 8.767 states/eV per cell

a b c (Å): 4.8389 16.1560 4.4978
angles (deg): 90.00 90.00 90.00
Space group Cmcm (No. 63)
Inequivalent atoms, fractional coordinates:
1 Sm 0.0000 0.0914 0.2500 [4 per cell]
2 Tl 0.0000 0.4305 0.2500 [4 per cell]
3 Pb 0.0000 0.2539 0.7500 [4 per cell]

DFT (PBE) results for a relaxed structure of HoEr.

Computed properties:
* total magnetic moment: 0.00 Bohr magnetons per cell
* energy of formation: 4 meV/atom
* DOS(E_F): 4.113 states/eV per cell

a b c (Å): 3.5793 3.5793 5.5747
angles (deg): 90.00 90.00 120.00
Space group P-6m2 (No. 187)
Inequivalent atoms, fractional coordinates:
1 Ho 0.0000 0.0000 0.0000 [1 per cell]
2 Er 0.3333 0.6667 0.5000 [1 per cell]

DFT (PBE) results for a relaxed structure of ScAsCl2.

Computed properties:
* ΔE_f (raw): -0.5788 eV/atom
* total magnetic moment: 0.00 Bohr magnetons per cell
* DOS(E_F): 3.105 states/eV per cell

a b c (Å): 4.0231 4.0231 9.7848
angles (deg): 90.00 90.00 90.00
Space group I-4m2 (No. 119)
Inequivalent atoms, fractional coordinates:
1 Sc 0.0000 0.0000 0.0000 [2 per cell]
2 As 0.0000 0.5000 0.7500 [2 per cell]
3 Cl 0.0000 0.0000 0.5000 [2 per cell]
4 Cl 0.0000 0.5000 0.2500 [2 per cell]